KRbSm2Sb2, relaxed, DFT PBE-GGA; raw total energy = -23.5 eV for the cell shown; calculated volume = 40.63 A^3/atom; E above lowest polymorph = 0 meV/atom
1.0
-0.9499 -0.7235 5.1787
2.9747 -4.4035 -0.0696
6.9843 4.6877 1.9360
K Rb Sb Sm
1 1 2 2
Direct
0.0000 0.0000 0.1346
0.5000 0.5000 0.8693
0.5000 0.5000 0.3016
0.0000 0.0000 0.6979
0.5000 0.0000 0.4984
0.0000 0.5000 0.4984